Here is a relaxed CoTeAsSe2 crystal from Alexandria via LeMat-Bulk. Energies are from GGA-PBEsol.

Values from the calculation:
- Size of the total moment: 0.00 μB/f.u.
- Uncorrected energy: -4.445 eV per atom
- Raw formation energy: 0.3693 eV per atom

```
CoTeAsSe2
1.0
4.4614 0.0000 0.0000
0.0000 4.4614 0.0000
0.0000 0.0000 5.2149
Co Te As Se
1 1 1 2
Direct
0.0000 0.0000 0.0000 Co
0.0000 0.0000 0.5000 Te
0.5000 0.5000 0.5000 As
0.0000 0.5000 0.0000 Se
0.5000 0.0000 0.0000 Se
```